No. 1
DFT (GGA-PBE) results for a relaxed structure of NiIrRu2Rh.

Properties
Symmetry: Cmcm (63)
Calculated volume, Å³/atom: 22.3
Energy of formation from the pure elements, meV per atom: 990.0

Cell lengths 2.618, 5.987, 14.548 Å; angles 90.00, 90.00, 102.63 degrees
Fractional positions:
Ru1 0.514 0.028 0.843
Ni1 0.500 0.000 0.500
Ni2 0.500 0.000 0.000
Ru2 0.514 0.028 0.657
Ir1 0.164 0.328 0.750
Ru3 0.486 0.972 0.343
Rh1 0.140 0.280 0.250
Ir2 0.836 0.672 0.250
Rh2 0.860 0.720 0.750
Ru4 0.486 0.972 0.157

No. 2
DFT (GGA-PBE) results for a relaxed structure of Ba8NaNi2.

Properties
Symmetry: C2/m (12)
Calculated volume, Å³/atom: 49.8
Energy of formation from the pure elements, meV per atom: 62.8

Cell lengths 7.573, 8.047, 9.958 Å; angles 113.83, 81.55, 90.00 degrees
Fractional positions:
Ba1 0.821 0.423 0.846
Ba2 0.913 0.796 0.592
Ba3 0.386 0.105 0.714
Ba4 0.614 0.895 0.286
Na1 0.000 0.000 0.000
Ba5 0.614 0.390 0.286
Ba6 0.087 0.204 0.408
Ba7 0.386 0.610 0.714
Ba8 0.179 0.577 0.154
Ni1 0.320 0.726 0.452
Ni2 0.680 0.274 0.548

No. 3
DFT (GGA-PBE) results for a relaxed structure of Zn2FeCo.

Properties
Symmetry: Pmmm (47)
Calculated volume, Å³/atom: 12.5
Relative energy among the computed polymorphs, meV per atom: 28.5
Energy of formation from the pure elements, meV per atom: 20.5

Cell lengths 3.662, 3.560, 3.841 Å; angles 90.00, 90.00, 90.00 degrees
Site moments in Bohr magnetons follow the coordinates.
Fractional positions:
Zn1 0.000 0.000 0.000  -0.05
Zn2 0.500 0.500 0.000  -0.05
Fe1 0.000 0.500 0.500  2.52
Co1 0.500 0.000 0.500  1.35

No. 4
DFT (GGA-PBE) results for a relaxed structure of LaNbSi2.

Properties
Symmetry: Fm-3m (225)
Calculated volume, Å³/atom: 20.1
Relative energy among the computed polymorphs, meV per atom: 0.0
ΔE_f (raw), eV/atom: -0.080

Cell lengths 4.848, 4.848, 4.848 Å; angles 60.00, 60.00, 60.00 degrees
Site moments in Bohr magnetons follow the coordinates.
Fractional positions:
Si1 0.750 0.750 0.750  -0.02
Nb1 0.000 0.000 0.000  1.23
La1 0.500 0.500 0.500  0.12
Si2 0.250 0.250 0.250  -0.02

No. 5
DFT (GGA-PBE) results for a relaxed structure of Co3H.

Properties
Symmetry: R-3m (166)
Calculated volume, Å³/atom: 8.6
Relative energy among the computed polymorphs, meV per atom: 15.3

Cell lengths 2.543, 2.541, 6.340 Å; angles 101.60, 90.00, 120.02 degrees
Site moments in Bohr magnetons follow the coordinates.
Fractional positions:
Co1 0.726 0.452 0.176  1.47
H1 0.000 0.000 0.000  -0.01
Co2 0.274 0.548 0.824  1.47
Co3 0.500 0.000 0.500  1.71

No. 6
DFT (GGA-PBE) results for a relaxed structure of Li2Ag2Ge.

Properties
Symmetry: C2/m (12)
Calculated volume, Å³/atom: 16.2
Relative energy among the computed polymorphs, meV per atom: 0.0
Energy of formation from the pure elements, meV per atom: -233.6

Cell lengths 4.476, 4.502, 5.300 Å; angles 65.54, 65.02, 60.19 degrees
Fractional positions:
Ag1 0.602 0.602 0.194
Ge1 0.000 0.000 0.000
Li1 0.199 0.199 0.404
Ag2 0.398 0.398 0.806
Li2 0.801 0.801 0.596

No. 7
DFT (GGA-PBE) results for a relaxed structure of CaGeSeI2.

Properties
Symmetry: P4/mmm (123)
Calculated volume, Å³/atom: 34.0
ΔE_f (raw), eV/atom: -0.468

Cell lengths 5.675, 5.279, 5.675 Å; angles 90.00, 90.00, 90.00 degrees
Fractional positions:
I1 0.000 0.000 0.500
I2 0.500 0.000 0.000
Se1 0.000 0.500 0.000
Ge1 0.000 0.000 0.000
Ca1 0.500 0.500 0.500

No. 8
DFT (GGA-PBE) results for a relaxed structure of Pm4SiSe3.

Properties
Symmetry: Pm-3m (221)
Calculated volume, Å³/atom: 26.3
ΔE_f (raw), eV/atom: -1.627

Cell lengths 5.947, 5.947, 5.947 Å; angles 90.00, 90.00, 90.00 degrees
Fractional positions:
Pm1 0.000 0.500 0.000
Se1 0.500 0.000 0.500
Si1 0.000 0.000 0.000
Se2 0.500 0.500 0.000
Se3 0.000 0.500 0.500
Pm2 0.000 0.000 0.500
Pm3 0.500 0.000 0.000
Pm4 0.500 0.500 0.500